No. 1
Computed, not measured: a geometry-optimized CsK2SiS4 structure at the PBE level of DFT.

Computed properties:
Size of the total moment ... 0.140 μB/atom
Formation energy (no corrections) ... -0.96 eV/atom

```
data_CsK2SiS4
_chemical_formula_sum 'Cs2 K4 Si2 S8'
_cell_length_a 7.809
_cell_length_b 7.811
_cell_length_c 8.961
_cell_angle_alpha 90.00
_cell_angle_beta 90.00
_cell_angle_gamma 90.00
_space_group_name_H-M_alt 'I 2 2 2'
_space_group_IT_number 23
_space_group_name_Hall 'I 2 2'
loop_
_atom_site_label
_atom_site_fract_x
_atom_site_fract_y
_atom_site_fract_z
_atom_site_occupancy
Cs1 0.000 0.000 0.000 1
K1 0.000 0.500 0.249 1
Si1 0.000 0.000 0.500 1
S1 0.161 0.162 0.370 1
```

=====

No. 2
Computed, not measured: a geometry-optimized CsKSiS3 structure at the PBE level of DFT.

Computed properties:
Size of the total moment ... 0.000 μB/atom
Formation energy (no corrections) ... -1.06 eV/atom

```
data_CsKSiS3
_chemical_formula_sum 'Cs4 K4 Si4 S12'
_cell_length_a 9.051
_cell_length_b 10.013
_cell_length_c 9.872
_cell_angle_alpha 90.00
_cell_angle_beta 90.64
_cell_angle_gamma 90.00
_space_group_name_H-M_alt 'C 1 2/m 1'
_space_group_IT_number 12
_space_group_name_Hall '-C 2y'
loop_
_atom_site_label
_atom_site_fract_x
_atom_site_fract_y
_atom_site_fract_z
_atom_site_occupancy
Cs1 0.206 0.000 0.119 1
K1 0.000 0.264 0.500 1
Si1 0.180 0.000 0.699 1
S1 0.139 0.176 0.796 1
S2 0.245 0.000 0.500 1
```

=====

Ρ? In order: 2.233 2.200 g/cm³.